# SrLi2Ca | Alexandria via LeMat-Bulk | GGA-PBE | relaxed
data_SrLi2Ca
_chemical_formula_sum 'Sr1 Li2 Ca1'
_cell_length_a 3.9092
_cell_length_b 3.9092
_cell_length_c 11.3488
_cell_angle_alpha 80.08
_cell_angle_beta 80.08
_cell_angle_gamma 60.00
_space_group_name_H-M_alt 'P 1'
_space_group_IT_number 1
loop_
_space_group_symop_operation_xyz
'x,y,z'
loop_
_atom_site_label
_atom_site_type_symbol
_atom_site_fract_x
_atom_site_fract_y
_atom_site_fract_z
Sr1 Sr 0.5008 0.5008 0.4976
Li1 Li 0.0806 0.0806 0.7582
Li2 Li 0.2527 0.2527 0.2420
Ca1 Ca 0.6659 0.6659 0.0022
# - symmetry = No. 160
# - relative energy among the computed polymorphs (eV/f.u.) = 0.49
# - density (g cm⁻³) = 1.60

---

# Al2FeTe | Alexandria via LeMat-Bulk | GGA-PBE | relaxed
data_Al2FeTe
_chemical_formula_sum 'Al2 Fe1 Te1'
_cell_length_a 5.2106
_cell_length_b 5.2106
_cell_length_c 5.2106
_cell_angle_alpha 141.10
_cell_angle_beta 127.52
_cell_angle_gamma 67.22
_space_group_name_H-M_alt 'P 1'
_space_group_IT_number 1
loop_
_space_group_symop_operation_xyz
'x,y,z'
loop_
_atom_site_label
_atom_site_type_symbol
_atom_site_fract_x
_atom_site_fract_y
_atom_site_fract_z
Te1 Te 0.2500 0.7500 0.5000
Fe1 Fe 0.7500 0.2500 0.5000
Al1 Al 0.9780 0.9780 0.0000
Al2 Al 0.5220 0.5220 0.0000
# - symmetry = No. 71
# - density (g cm⁻³) = 5.68
# - formation energy without anion corrections (meV/atom) = 289

---

# ErTlCuI5 | Alexandria via LeMat-Bulk | GGA-PBE | relaxed
data_ErTlCuI5
_chemical_formula_sum 'Er2 Tl2 Cu2 I10'
_cell_length_a 8.2164
_cell_length_b 8.2164
_cell_length_c 11.1759
_cell_angle_alpha 103.94
_cell_angle_beta 103.94
_cell_angle_gamma 106.07
_space_group_name_H-M_alt 'P 1'
_space_group_IT_number 1
loop_
_space_group_symop_operation_xyz
'x,y,z'
loop_
_atom_site_label
_atom_site_type_symbol
_atom_site_fract_x
_atom_site_fract_y
_atom_site_fract_z
Er1 Er 0.0000 0.0000 0.5000
Er2 Er 0.0000 0.0000 0.0000
Tl1 Tl 0.3667 0.6333 0.2500
Tl2 Tl 0.6333 0.3667 0.7500
Cu1 Cu 0.6915 0.3085 0.2500
Cu2 Cu 0.3085 0.6915 0.7500
I1 I 0.0881 0.9119 0.2500
I2 I 0.9119 0.0881 0.7500
I3 I 0.9203 0.3250 0.1224
I4 I 0.0797 0.6750 0.8776
I5 I 0.6750 0.0797 0.3776
I6 I 0.3250 0.9203 0.6224
I7 I 0.7623 0.6146 0.4369
I8 I 0.2377 0.3854 0.5631
I9 I 0.3854 0.2377 0.0631
I10 I 0.6146 0.7623 0.9369
# - symmetry = No. 15
# - density (g cm⁻³) = 5.35
# - formation energy without anion corrections (meV/atom) = -855